(a)
The following is a PBE-GGA calculation of an optimized crystal structure of K2Zn2O5, from OQMD via LeMat-Bulk.

Cell and atoms, written as CIF:
```
data_K2Zn2O5
_symmetry_space_group_name_H-M 'P 4/m m m'
_symmetry_Int_Tables_number 123
_symmetry_space_group_name_Hall '-P 4 2'
_cell_length_a 3.9236
_cell_length_b 3.9236
_cell_length_c 9.7890
_cell_angle_alpha 90.00
_cell_angle_beta 90.00
_cell_angle_gamma 90.00
loop_
_atom_site_label
_atom_site_type_symbol
_atom_site_fract_x
_atom_site_fract_y
_atom_site_fract_z
_atom_site_occupancy
K1 K 0.0000 0.0000 0.2455 1
Zn1 Zn 0.5000 0.5000 0.0000 1
Zn2 Zn 0.5000 0.5000 0.5000 1
O1 O 0.0000 0.0000 0.5000 1
O2 O 0.0000 0.5000 0.0749 1
```

---

(b)
The following is a PBE-GGA calculation of an optimized crystal structure of K2Zn2O5, from OQMD via LeMat-Bulk.

Cell and atoms, written as CIF:
```
data_K2Zn2O5
_symmetry_space_group_name_H-M 'P 4/m m m'
_symmetry_Int_Tables_number 123
_symmetry_space_group_name_Hall '-P 4 2'
_cell_length_a 3.7572
_cell_length_b 3.7572
_cell_length_c 8.8717
_cell_angle_alpha 90.00
_cell_angle_beta 90.00
_cell_angle_gamma 90.00
loop_
_atom_site_label
_atom_site_type_symbol
_atom_site_fract_x
_atom_site_fract_y
_atom_site_fract_z
_atom_site_occupancy
K1 K 0.0000 0.0000 0.0000 1
K2 K 0.0000 0.0000 0.5000 1
Zn1 Zn 0.5000 0.5000 0.2172 1
O1 O 0.0000 0.5000 0.2759 1
O2 O 0.5000 0.5000 0.0000 1
```

---

What should be chosen as the most stable of them? Choose (b).

---

(a)
The following is a PBE-GGA calculation of an optimized crystal structure of KReOs, from OQMD via LeMat-Bulk.

Cell and atoms, written as CIF:
```
data_KReOs
_symmetry_space_group_name_H-M 'F -4 3 m'
_symmetry_Int_Tables_number 216
_symmetry_space_group_name_Hall 'F -4 2 3'
_cell_length_a 6.2250
_cell_length_b 6.2250
_cell_length_c 6.2250
_cell_angle_alpha 90.00
_cell_angle_beta 90.00
_cell_angle_gamma 90.00
loop_
_atom_site_label
_atom_site_type_symbol
_atom_site_fract_x
_atom_site_fract_y
_atom_site_fract_z
_atom_site_occupancy
K1 K 0.0000 0.0000 0.0000 1
Re1 Re 0.2500 0.2500 0.2500 1
Os1 Os 0.0000 0.0000 0.5000 1
```

---

(b)
The following is a PBE-GGA calculation of an optimized crystal structure of KReOs, from OQMD via LeMat-Bulk.

Cell and atoms, written as CIF:
```
data_KReOs
_symmetry_space_group_name_H-M 'P -6 m 2'
_symmetry_Int_Tables_number 187
_symmetry_space_group_name_Hall 'P -6 2'
_cell_length_a 4.8618
_cell_length_b 4.8618
_cell_length_c 8.1376
_cell_angle_alpha 90.00
_cell_angle_beta 90.00
_cell_angle_gamma 120.00
loop_
_atom_site_label
_atom_site_type_symbol
_atom_site_fract_x
_atom_site_fract_y
_atom_site_fract_z
_atom_site_occupancy
K1 K 0.0000 0.0000 0.0000 1
K2 K 0.6667 0.3333 0.3421 1
Re1 Re 0.3333 0.6667 0.1920 1
Re2 Re 0.3333 0.6667 0.5000 1
Os1 Os 0.0000 0.0000 0.3491 1
Os2 Os 0.6667 0.3333 0.0000 1
```

---

What should be chosen as the most stable of them? Choose (a).

---

(a)
The following is a PBE-GGA calculation of an optimized crystal structure of K2Rb2ZnP2, from OQMD via LeMat-Bulk.

Cell and atoms, written as CIF:
```
data_K2Rb2ZnP2
_symmetry_space_group_name_H-M 'R -3 m'
_symmetry_Int_Tables_number 166
_symmetry_space_group_name_Hall '-R 3 2"'
_cell_length_a 5.7293
_cell_length_b 5.7293
_cell_length_c 27.1073
_cell_angle_alpha 90.00
_cell_angle_beta 90.00
_cell_angle_gamma 120.00
loop_
_atom_site_label
_atom_site_type_symbol
_atom_site_fract_x
_atom_site_fract_y
_atom_site_fract_z
_atom_site_occupancy
K1 K 0.0000 0.0000 0.1173 1
Rb1 Rb 0.0000 0.0000 0.2913 1
Zn1 Zn 0.0000 0.0000 0.5000 1
P1 P 0.0000 0.0000 0.4181 1
```

---

(b)
The following is a PBE-GGA calculation of an optimized crystal structure of K2Rb2ZnP2, from OQMD via LeMat-Bulk.

Cell and atoms, written as CIF:
```
data_K2Rb2ZnP2
_symmetry_space_group_name_H-M 'R -3 m'
_symmetry_Int_Tables_number 166
_symmetry_space_group_name_Hall '-R 3 2"'
_cell_length_a 5.8264
_cell_length_b 5.8264
_cell_length_c 26.1267
_cell_angle_alpha 90.00
_cell_angle_beta 90.00
_cell_angle_gamma 120.00
loop_
_atom_site_label
_atom_site_type_symbol
_atom_site_fract_x
_atom_site_fract_y
_atom_site_fract_z
_atom_site_occupancy
K1 K 0.0000 0.0000 0.2081 1
Rb1 Rb 0.0000 0.0000 0.3829 1
Zn1 Zn 0.0000 0.0000 0.0000 1
P1 P 0.0000 0.0000 0.0850 1
```

---

What should be chosen as the most stable of them? Choose (a).

---

(a)
The following is a PBE-GGA calculation of an optimized crystal structure of K2Pt2Pb, from OQMD via LeMat-Bulk.

Cell and atoms, written as CIF:
```
data_K2Pt2Pb
_symmetry_space_group_name_H-M 'P 4/m b m'
_symmetry_Int_Tables_number 127
_symmetry_space_group_name_Hall '-P 4 2ab'
_cell_length_a 7.1574
_cell_length_b 7.1574
_cell_length_c 5.4403
_cell_angle_alpha 90.00
_cell_angle_beta 90.00
_cell_angle_gamma 90.00
loop_
_atom_site_label
_atom_site_type_symbol
_atom_site_fract_x
_atom_site_fract_y
_atom_site_fract_z
_atom_site_occupancy
K1 K 0.1715 0.3285 0.0000 1
Pt1 Pt 0.1284 0.6284 0.5000 1
Pb1 Pb 0.0000 0.0000 0.5000 1
```

---

(b)
The following is a PBE-GGA calculation of an optimized crystal structure of K2Pt2Pb, from OQMD via LeMat-Bulk.

Cell and atoms, written as CIF:
```
data_K2Pt2Pb
_symmetry_space_group_name_H-M 'C 1 2/c 1'
_symmetry_Int_Tables_number 15
_cell_length_a 10.3033
_cell_length_b 6.8479
_cell_length_c 8.2944
_cell_angle_alpha 90.00
_cell_angle_beta 100.31
_cell_angle_gamma 90.00
loop_
_symmetry_equiv_pos_as_xyz
'x,y,z'
'-x,-y,-z'
'-x,y,-z+1/2'
'x,-y,z+1/2'
'x+1/2,y+1/2,z'
'-x+1/2,-y+1/2,-z'
'-x+1/2,y+1/2,-z+1/2'
'x+1/2,-y+1/2,z+1/2'
loop_
_atom_site_label
_atom_site_type_symbol
_atom_site_fract_x
_atom_site_fract_y
_atom_site_fract_z
_atom_site_occupancy
K1 K 0.1422 0.1229 0.1359 1
Pt1 Pt 0.1442 0.3487 0.5069 1
Pb1 Pb 0.0000 0.4313 0.7500 1
```

---

What should be chosen as the most stable of them? Choose (b).

---

(a)
The following is a PBE-GGA calculation of an optimized crystal structure of K2TaPbS6, from OQMD via LeMat-Bulk.

Cell and atoms, written as CIF:
```
data_K2TaPbS6
_symmetry_space_group_name_H-M 'P 4/m m m'
_symmetry_Int_Tables_number 123
_symmetry_space_group_name_Hall '-P 4 2'
_cell_length_a 4.3319
_cell_length_b 4.3319
_cell_length_c 13.9233
_cell_angle_alpha 90.00
_cell_angle_beta 90.00
_cell_angle_gamma 90.00
loop_
_atom_site_label
_atom_site_type_symbol
_atom_site_fract_x
_atom_site_fract_y
_atom_site_fract_z
_atom_site_occupancy
K1 K 0.0000 0.0000 0.2193 1
Ta1 Ta 0.5000 0.5000 0.5000 1
Pb1 Pb 0.5000 0.5000 0.0000 1
S1 S 0.0000 0.0000 0.0000 1
S2 S 0.0000 0.0000 0.5000 1
S3 S 0.0000 0.5000 0.3906 1
```

---

(b)
The following is a PBE-GGA calculation of an optimized crystal structure of K2TaPbS6, from OQMD via LeMat-Bulk.

Cell and atoms, written as CIF:
```
data_K2TaPbS6
_symmetry_space_group_name_H-M 'F m -3 m'
_symmetry_Int_Tables_number 225
_symmetry_space_group_name_Hall '-F 4 2 3'
_cell_length_a 10.3564
_cell_length_b 10.3564
_cell_length_c 10.3564
_cell_angle_alpha 90.00
_cell_angle_beta 90.00
_cell_angle_gamma 90.00
loop_
_atom_site_label
_atom_site_type_symbol
_atom_site_fract_x
_atom_site_fract_y
_atom_site_fract_z
_atom_site_occupancy
K1 K 0.2500 0.2500 0.2500 1
Ta1 Ta 0.0000 0.0000 0.0000 1
Pb1 Pb 0.0000 0.0000 0.5000 1
S1 S 0.0000 0.0000 0.2328 1
```

---

What should be chosen as the most stable of them? Choose (b).

---

(a)
The following is a PBE-GGA calculation of an optimized crystal structure of KTbTe3Pb, from OQMD via LeMat-Bulk.

Cell and atoms, written as CIF:
```
data_KTbTe3Pb
_symmetry_space_group_name_H-M 'C 1 2/m 1'
_symmetry_Int_Tables_number 12
_cell_length_a 19.7168
_cell_length_b 4.5517
_cell_length_c 10.5305
_cell_angle_alpha 90.00
_cell_angle_beta 103.53
_cell_angle_gamma 90.00
loop_
_symmetry_equiv_pos_as_xyz
'x,y,z'
'-x,-y,-z'
'-x,y,-z'
'x,-y,z'
'x+1/2,y+1/2,z'
'-x+1/2,-y+1/2,-z'
'-x+1/2,y+1/2,-z'
'x+1/2,-y+1/2,z'
loop_
_atom_site_label
_atom_site_type_symbol
_atom_site_fract_x
_atom_site_fract_y
_atom_site_fract_z
_atom_site_occupancy
K1 K 0.1434 0.0000 0.0707 1
Tb1 Tb 0.1733 0.0000 0.5807 1
Te1 Te 0.0000 0.0000 0.5000 1
Te2 Te 0.0000 0.5000 0.0000 1
Te3 Te 0.1679 0.5000 0.3728 1
Te4 Te 0.1727 0.5000 0.7839 1
Pb1 Pb 0.0101 0.5000 0.7183 1
```

---

(b)
The following is a PBE-GGA calculation of an optimized crystal structure of KTbTe3Pb, from OQMD via LeMat-Bulk.

Cell and atoms, written as CIF:
```
data_KTbTe3Pb
_symmetry_space_group_name_H-M 'C m c m'
_symmetry_Int_Tables_number 63
_symmetry_space_group_name_Hall '-C 2c 2'
_cell_length_a 4.4922
_cell_length_b 17.3527
_cell_length_c 12.8377
_cell_angle_alpha 90.00
_cell_angle_beta 90.00
_cell_angle_gamma 90.00
loop_
_atom_site_label
_atom_site_type_symbol
_atom_site_fract_x
_atom_site_fract_y
_atom_site_fract_z
_atom_site_occupancy
K1 K 0.0000 0.1892 0.2500 1
Tb1 Tb 0.0000 0.5000 0.0000 1
Te1 Te 0.0000 0.1240 0.5053 1
Te2 Te 0.0000 0.4803 0.7500 1
Pb1 Pb 0.0000 0.0991 0.7500 1
```

---

What should be chosen as the most stable of them? Choose (a).